(1)
Below is a relaxed BeCu crystal, with properties calculated at the PBE level.

Calculated values
Its crystal system is hexagonal. The density of states at the Fermi level is 0.72 states/eV/f.u. The formation energy comes out at 0.1159 eV/atom. Its energy is -3.795 eV per atom.

Geometry as POSCAR:
```
BeCu
1.0
3.693 0.000 0.000
-1.847 3.198 0.000
0.000 0.000 7.143
Be Cu
4 4
Direct
0.000 0.000 0.250
0.000 0.000 0.750
0.333 0.667 0.250
0.667 0.333 0.750
0.333 0.667 0.586
0.333 0.667 0.914
0.667 0.333 0.086
0.667 0.333 0.414
```



(2)
Below is a relaxed BeCu crystal, with properties calculated at the PBE level.

Calculated values
Its crystal system is hexagonal. The density of states at the Fermi level is 0.92 states/eV/f.u. The formation energy comes out at 0.2437 eV/atom. Its energy is -3.667 eV per atom.

Geometry as POSCAR:
```
BeCu
1.0
3.958 0.000 0.000
-1.979 3.428 0.000
0.000 0.000 6.562
Be Cu
4 4
Direct
0.333 0.667 0.088
0.333 0.667 0.412
0.667 0.333 0.588
0.667 0.333 0.912
0.000 0.000 0.250
0.000 0.000 0.750
0.333 0.667 0.750
0.667 0.333 0.250
```



(3)
Below is a relaxed BeCu crystal, with properties calculated at the PBE level.

Calculated values
Its crystal system is monoclinic. The density of states at the Fermi level is 0.65 states/eV/f.u. The formation energy comes out at -0.0618 eV/atom. Its energy is -3.973 eV per atom.

Geometry as POSCAR:
```
BeCu
1.0
4.174 -1.281 0.000
4.174 1.281 0.000
-2.007 0.000 5.552
Be Cu
3 3
Direct
0.000 0.000 0.000
0.055 0.055 0.533
0.677 0.677 0.311
0.355 0.355 0.648
0.380 0.380 0.227
0.683 0.683 0.874
```